Material: TbNdSm2Er4
Method: DFT, PBE-GGA
State: relaxed

Unit cell a=9.4974 b=9.4974 c=6.8037 alpha=110.99 beta=110.99 gamma=88.48
With the nearest neighbours (Å) after each atom.
Atoms (fractional coordinates):
Tb: 0.0000 0.0000 0.0000  6 Er 3.29-3.39, 2 Tb 3.40
Tb: 0.0000 0.0000 0.5000  6 Er 3.29-3.39, 2 Tb 3.40
Nd: 0.0000 0.5000 0.0000  6 Er 3.32-3.40, 2 Sm 3.40
Nd: 0.5000 0.0000 0.5000  6 Er 3.32-3.40, 2 Sm 3.40
Sm: 0.0000 0.5000 0.5000  6 Er 3.31-3.40, 2 Nd 3.40
Sm: 0.5000 0.0000 0.0000  6 Er 3.31-3.40, 2 Nd 3.40
Sm: 0.5000 0.5000 0.0000  6 Er 3.34-3.42, 2 Sm 3.40
Sm: 0.5000 0.5000 0.5000  6 Er 3.34-3.42, 2 Sm 3.40
Er: 0.2480 0.2483 0.4992  3 Sm 3.31-3.42, 1 Nd 3.32, 2 Tb 3.38-3.39, 2 Er 3.40
Er: 0.2483 0.2480 0.9992  3 Sm 3.31-3.42, 1 Nd 3.32, 2 Tb 3.38-3.39, 2 Er 3.40
Er: 0.2483 0.7518 0.9996  1 Tb 3.29, 3 Sm 3.34-3.40, 2 Er 3.40-3.41, 2 Nd 3.40
Er: 0.2482 0.7517 0.5004  1 Tb 3.29, 3 Sm 3.34-3.40, 2 Er 3.40-3.41, 2 Nd 3.40
Er: 0.7517 0.2482 0.0004  1 Tb 3.29, 3 Sm 3.34-3.40, 2 Er 3.40-3.41, 2 Nd 3.40
Er: 0.7518 0.2483 0.4996  1 Tb 3.29, 3 Sm 3.34-3.40, 2 Er 3.40-3.41, 2 Nd 3.40
Er: 0.7517 0.7520 0.0008  3 Sm 3.31-3.42, 1 Nd 3.32, 2 Tb 3.38-3.39, 2 Er 3.40
Er: 0.7520 0.7517 0.5008  3 Sm 3.31-3.42, 1 Nd 3.32, 2 Tb 3.38-3.39, 2 Er 3.40

Results
Formation energy from the elements: 0.426 eV/atom
Crystal system: monoclinic
Total DFT energy (no corrections): -4.210 eV/atom
V: 531.30 Å³ per cell
SG: No. 15

=====

Material: TmHfC2
Method: DFT, PBE-GGA
State: relaxed

Unit cell a=5.9492 b=5.9492 c=5.9492 alpha=33.58 beta=33.58 gamma=33.58
With the nearest neighbours (Å) after each atom.
Atoms (fractional coordinates):
Tm: 0.0000 0.0000 0.0000  6 C 2.46-2.60
Hf: 0.8254 0.8254 0.8254  6 C 2.32-2.35
C: 0.4202 0.4202 0.4202  3 Hf 2.32, 3 Tm 2.46, 1 C 2.47
C: 0.5669 0.5669 0.5669  3 Hf 2.35, 1 C 2.47, 3 Tm 2.60

Results
Formation energy from the elements: -0.157 eV/atom
Crystal system: trigonal
Polymorph energy (0 for the lowest one): 355 meV per atom
Total DFT energy (no corrections): -8.375 eV/atom
V: 57.39 Å³ per cell
SG: No. 160

=====

Material: Tb3Pm2Rh4
Method: DFT, PBE-GGA
State: relaxed

Unit cell a=7.6795 b=7.6440 c=7.4451 alpha=90.00 beta=109.12 gamma=90.00
With the nearest neighbours (Å) after each atom.
Atoms (fractional coordinates):
Tb: 0.0000 0.0000 0.0000  6 Rh 2.96-3.02
Tb: 0.0000 0.5000 0.5000  6 Rh 2.96-3.02
Tb: 0.2585 0.1686 0.7535  6 Rh 2.80-2.95
Tb: 0.2585 0.3314 0.2535  6 Rh 2.80-2.95
Tb: 0.7415 0.6686 0.7465  6 Rh 2.80-2.95
Tb: 0.7415 0.8314 0.2465  6 Rh 2.80-2.95
Pm: 0.3067 0.6785 0.9246  5 Rh 2.96-3.22
Pm: 0.3067 0.8215 0.4246  5 Rh 2.96-3.22
Pm: 0.6933 0.1785 0.5754  5 Rh 2.96-3.22
Pm: 0.6933 0.3215 0.0754  5 Rh 2.96-3.22
Rh: 0.0105 0.6332 0.1306  1 Rh 2.78, 5 Tb 2.91-2.96, 1 Pm 2.96
Rh: 0.0105 0.8668 0.6306  1 Rh 2.78, 5 Tb 2.91-2.96, 1 Pm 2.96
Rh: 0.4146 0.0354 0.1455  4 Tb 2.80-3.02, 1 Rh 2.93, 1 Pm 2.97
Rh: 0.4146 0.4646 0.6455  4 Tb 2.80-3.02, 1 Rh 2.93, 1 Pm 2.97
Rh: 0.5854 0.5354 0.3545  4 Tb 2.80-3.02, 1 Rh 2.93, 1 Pm 2.97
Rh: 0.5854 0.9646 0.8545  4 Tb 2.80-3.02, 1 Rh 2.93, 1 Pm 2.97
Rh: 0.9895 0.1332 0.3694  1 Rh 2.78, 5 Tb 2.91-2.96, 1 Pm 2.96
Rh: 0.9895 0.3668 0.8694  1 Rh 2.78, 5 Tb 2.91-2.96, 1 Pm 2.96

Results
Formation energy from the elements: -0.762 eV/atom
Crystal system: monoclinic
Total DFT energy (no corrections): -6.629 eV/atom
V: 412.92 Å³ per cell
SG: No. 14